The following is a PBE+U calculation of a relaxed structure of TaWN2O, from Alexandria.

Geometry as CIF:
```
data_TaWN2O
_chemical_formula_sum 'Ta1 W1 N2 O1'
_symmetry_space_group_name_H-M 'P 4/m m m'
_symmetry_Int_Tables_number 123
_symmetry_space_group_name_Hall '-P 4 2'
_cell_length_a 3.995
_cell_length_b 3.995
_cell_length_c 3.836
_cell_angle_alpha 90.00
_cell_angle_beta 90.00
_cell_angle_gamma 90.00
loop_
_atom_site_label
_atom_site_type_symbol
_atom_site_fract_x
_atom_site_fract_y
_atom_site_fract_z
Ta1 Ta 0.000 0.000 0.000
W1 W 0.500 0.500 0.500
N1 N 0.000 0.500 0.500
O1 O 0.500 0.500 0.000
```

Properties
Final energy = -39.38 eV/cell